Entry 1:
Material: ErMg6Zr
Method: DFT, PBE
State: relaxed

Cell: 4.607 4.607 8.852 Å, 90.00 90.00 90.00°
Fractional coordinates of all 8 atoms:
Er 0.000 0.000 0.000
Mg 0.000 0.500 0.261
Mg 0.000 0.500 0.739
Mg 0.500 0.000 0.261
Mg 0.500 0.000 0.739
Mg 0.500 0.500 0.000
Mg 0.500 0.500 0.500
Zr 0.000 0.000 0.500



Entry 2:
Material: Er3Mg3Zr2
Method: DFT, PBE
State: relaxed

Cell: 3.508 5.296 21.929 Å, 90.00 90.00 90.00°
Fractional coordinates of all 16 atoms:
Er 0.000 0.000 0.000
Er 0.000 0.500 0.134
Er 0.000 0.500 0.866
Er 0.500 0.000 0.366
Er 0.500 0.000 0.634
Er 0.500 0.500 0.500
Mg 0.000 0.000 0.500
Mg 0.000 0.500 0.380
Mg 0.000 0.500 0.620
Mg 0.500 0.000 0.120
Mg 0.500 0.000 0.880
Mg 0.500 0.500 0.000
Zr 0.000 0.000 0.237
Zr 0.000 0.000 0.763
Zr 0.500 0.500 0.263
Zr 0.500 0.500 0.737



Entry 3:
Material: Er2MgZr2
Method: DFT, PBE
State: relaxed

Cell: 3.795 3.795 18.300 Å, 90.00 90.00 90.00°
Fractional coordinates of all 10 atoms:
Er 0.000 0.000 0.108
Er 0.000 0.000 0.892
Er 0.500 0.500 0.392
Er 0.500 0.500 0.608
Mg 0.000 0.000 0.500
Mg 0.500 0.500 0.000
Zr 0.000 0.000 0.285
Zr 0.000 0.000 0.715
Zr 0.500 0.500 0.215
Zr 0.500 0.500 0.785



Entry 4:
Material: Er3Mg4Zr
Method: DFT, PBE
State: relaxed

Cell: 3.659 3.659 15.160 Å, 90.00 90.00 90.00°
Fractional coordinates of all 8 atoms:
Er 0.000 0.000 0.000
Er 0.000 0.000 0.262
Er 0.000 0.000 0.738
Mg 0.500 0.500 0.131
Mg 0.500 0.500 0.389
Mg 0.500 0.500 0.611
Mg 0.500 0.500 0.869
Zr 0.000 0.000 0.500



Entry 5:
Material: ErMgZr2
Method: DFT, PBE
State: relaxed

Output
Energy relative to the lowest polymorph listed for this composition, meV per atom: 27

Cell: 3.246 3.246 32.388 Å, 90.00 90.00 120.00°
Fractional coordinates of all 12 atoms:
Er 0.000 0.000 0.000
Er 0.333 0.667 0.667
Er 0.667 0.333 0.333
Mg 0.000 0.000 0.834
Mg 0.333 0.667 0.500
Mg 0.667 0.333 0.167
Zr 0.000 0.000 0.249
Zr 0.000 0.000 0.417
Zr 0.333 0.667 0.084
Zr 0.333 0.667 0.916
Zr 0.667 0.333 0.582
Zr 0.667 0.333 0.751



Entry 6:
Material: Er3Mg2Zr2
Method: DFT, PBE
State: relaxed

Cell: 5.040 22.394 3.322 Å, 90.00 90.00 90.00°
Fractional coordinates of all 14 atoms:
Er 0.000 0.000 0.000
Er 0.000 0.152 0.000
Er 0.000 0.848 0.000
Er 0.500 0.348 0.000
Er 0.500 0.500 0.000
Er 0.500 0.652 0.000
Mg 0.000 0.426 0.500
Mg 0.000 0.574 0.500
Mg 0.500 0.074 0.500
Mg 0.500 0.926 0.500
Zr 0.000 0.278 0.500
Zr 0.000 0.722 0.500
Zr 0.500 0.222 0.500
Zr 0.500 0.778 0.500



Entry 7:
Material: Er3MgZr
Method: DFT, PBE
State: relaxed

Cell: 11.041 11.041 8.055 Å, 107.13 107.13 17.46°
Fractional coordinates of all 10 atoms:
Er 0.017 0.017 0.219
Er 0.179 0.179 0.442
Er 0.374 0.374 0.966
Er 0.626 0.626 0.034
Er 0.821 0.821 0.558
Er 0.983 0.983 0.781
Mg 0.421 0.421 0.399
Mg 0.579 0.579 0.601
Zr 0.261 0.261 0.168
Zr 0.739 0.739 0.832



Entry 8:
Material: Er4MgZr
Method: DFT, PBE
State: relaxed

Cell: 3.421 3.421 14.308 Å, 90.00 90.00 90.00°
Fractional coordinates of all 6 atoms:
Er 0.000 0.000 0.159
Er 0.000 0.000 0.841
Er 0.500 0.500 0.339
Er 0.500 0.500 0.661
Mg 0.000 0.000 0.500
Zr 0.500 0.500 0.000



Entry 9:
Material: Er2Mg6Zr
Method: DFT, PBE
State: relaxed

Cell: 8.891 8.891 3.208 Å, 90.00 90.00 120.00°
Fractional coordinates of all 9 atoms:
Er 0.333 0.667 0.000
Er 0.667 0.333 0.000
Mg 0.000 0.327 0.500
Mg 0.000 0.673 0.500
Mg 0.327 0.000 0.500
Mg 0.327 0.327 0.500
Mg 0.673 0.000 0.500
Mg 0.673 0.673 0.500
Zr 0.000 0.000 0.000



Entry 10:
Material: Er3Mg12Zr
Method: DFT, PBE
State: relaxed

Cell: 4.588 4.588 18.439 Å, 90.00 90.00 90.00°
Fractional coordinates of all 16 atoms:
Er 0.000 0.000 0.000
Er 0.000 0.000 0.257
Er 0.000 0.000 0.743
Mg 0.000 0.500 0.128
Mg 0.000 0.500 0.384
Mg 0.000 0.500 0.616
Mg 0.000 0.500 0.872
Mg 0.500 0.000 0.128
Mg 0.500 0.000 0.384
Mg 0.500 0.000 0.616
Mg 0.500 0.000 0.872
Mg 0.500 0.500 0.000
Mg 0.500 0.500 0.256
Mg 0.500 0.500 0.500
Mg 0.500 0.500 0.744
Zr 0.000 0.000 0.500



Per-record E_form, eV/atom: -0.008 -0.008 0.014 -0.017 0.106 0.025 0.084 0.030 0.002 -0.028
Per-record V, A^3/atom: 23.5 25.5 26.4 25.4 24.6 26.8 28.1 27.9 24.4 24.3
Per-record calculated total energy, eV per atom: -2.84 -4.45 -5.55 -3.59 -5.71 -4.83 -4.68 -4.70 -3.02 -2.61